16
Lattice="6.513 0.000 0.000 0.000 6.513 0.000 0.000 0.000 6.513" Properties=species:S:1:pos:R:3 comment="MgZrGaRu PBE-GGA optimized geometry" e_form_mev_per_atom=-328 energy_ev_per_cell=-95.03 magmom_total_mub_per_fu=0.0 pbc="T T T"
Mg 0.000 0.000 0.000
Mg 0.000 3.256 3.256
Mg 3.256 0.000 3.256
Mg 3.256 3.256 0.000
Zr 0.000 0.000 3.256
Zr 0.000 3.256 0.000
Zr 3.256 0.000 0.000
Zr 3.256 3.256 3.256
Ga 1.628 1.628 4.885
Ga 1.628 4.885 1.628
Ga 4.885 1.628 1.628
Ga 4.885 4.885 4.885
Ru 1.628 1.628 1.628
Ru 1.628 4.885 4.885
Ru 4.885 1.628 4.885
Ru 4.885 4.885 1.628

14
Lattice="5.227 -5.803 0.000 5.227 5.803 0.000 -0.276 0.000 7.731" Properties=species:S:1:pos:R:3 comment="Ac3PrAg3 PBE-GGA optimized geometry" e_form_mev_per_atom=-127 energy_ev_per_cell=-53.10 magmom_total_mub_per_fu=0.0 pbc="T T T"
Ac 5.227 3.768 0.000
Ac 5.090 2.714 3.866
Ac 3.599 0.000 0.958
Ac 6.580 0.000 6.773
Ac 5.090 -2.714 3.866
Ac 5.227 -3.768 0.000
Pr 2.479 0.000 4.879
Pr 7.700 0.000 2.852
Ag 2.488 2.845 5.988
Ag 0.523 0.000 2.520
Ag 7.692 2.845 1.743
Ag 2.488 -2.845 5.988
Ag 9.657 0.000 5.211
Ag 7.692 -2.845 1.743

12
Lattice="3.539 0.000 0.000 -1.769 3.065 0.000 0.000 0.000 17.233" Properties=species:S:1:pos:R:3 comment="LuAlN2 PBE-GGA optimized geometry" e_form_raw_mev_per_atom=-958 energy_ev_per_cell=-86.24 magmom_total_mub_per_fu=0.0 pbc="T T T"
Lu 0.000 0.000 0.000
Lu 0.000 2.043 11.489
Lu 1.769 1.022 5.744
Al 0.000 0.000 8.616
Al 0.000 2.043 2.872
Al 1.769 1.022 14.361
N 0.000 0.000 6.882
N 0.000 0.000 10.351
N 0.000 2.043 1.137
N 0.000 2.043 4.607
N 1.769 1.022 12.626
N 1.769 1.022 16.096

5
Lattice="4.086 0.000 0.000 0.000 4.086 0.000 0.000 0.000 5.594" Properties=species:S:1:pos:R:3 comment="BeBiPO2 PBE-GGA optimized geometry" e_form_raw_mev_per_atom=402 de_polymorph_mev_per_atom=681 energy_ev_per_cell=-20.92 magmom_total_mub_per_fu=0.0 pbc="T T T"
Be 0.000 0.000 0.000
Bi 2.043 2.043 2.797
P 2.043 2.043 0.000
O 0.000 2.043 2.797
O 2.043 0.000 2.797

7
Lattice="5.040 0.000 0.000 0.000 5.040 0.000 0.000 0.000 7.327" Properties=species:S:1:pos:R:3 comment="PmHg6 PBE-GGA optimized geometry" e_form_mev_per_atom=-198 de_polymorph_mev_per_atom=0 energy_ev_per_cell=-7.95 magmom_total_mub_per_fu=0.0 pbc="T T T"
Pm 0.000 0.000 0.000
Hg 0.000 0.000 3.664
Hg 0.000 2.520 2.028
Hg 0.000 2.520 5.299
Hg 2.520 0.000 2.028
Hg 2.520 0.000 5.299
Hg 2.520 2.520 0.000

12
Lattice="8.722 -1.970 0.000 8.722 1.970 0.000 -1.883 0.000 7.887" Properties=species:S:1:pos:R:3 comment="Tm6P3PbS2 PBE-GGA optimized geometry" e_form_raw_mev_per_atom=-1517 energy_ev_per_cell=-73.23 magmom_total_mub_per_fu=0.0 pbc="T T T"
Tm 17.014 0.000 1.791
Tm -1.454 0.000 6.097
Tm 4.886 0.000 3.291
Tm 4.119 0.000 7.177
Tm 11.441 0.000 0.710
Tm 10.674 0.000 4.597
P 2.277 0.000 2.610
P 8.722 0.000 0.000
P 13.283 0.000 5.277
Pb 7.780 0.000 3.944
S 1.389 0.000 6.631
S 14.171 0.000 1.257

12
Lattice="3.513 0.000 0.000 -1.757 3.043 0.000 0.000 0.000 33.505" Properties=species:S:1:pos:R:3 comment="TbDy2Sc PBE-GGA optimized geometry" e_form_mev_per_atom=36 de_polymorph_mev_per_atom=6 energy_ev_per_cell=-60.07 magmom_total_mub_per_fu=0.0 pbc="T T T"
Tb 0.000 0.000 0.000
Tb 0.000 2.029 22.337
Tb 1.757 1.014 11.168
Dy 0.000 0.000 19.442
Dy 0.000 0.000 25.217
Dy 0.000 2.029 8.274
Dy 0.000 2.029 14.049
Dy 1.757 1.014 2.881
Dy 1.757 1.014 30.610
Sc 0.000 0.000 5.568
Sc 0.000 2.029 27.905
Sc 1.757 1.014 16.737

5
Lattice="4.562 0.000 0.000 0.000 4.562 0.000 0.000 0.000 5.228" Properties=species:S:1:pos:R:3 comment="HfMgCuP2 PBE-GGA optimized geometry" e_form_mev_per_atom=1186 energy_ev_per_cell=-20.54 magmom_total_mub_per_fu=0.0 pbc="T T T"
Hf 0.000 0.000 0.000
Mg 0.000 0.000 2.614
Cu 2.281 2.281 0.000
P 0.000 2.281 2.614
P 2.281 0.000 2.614

12
Lattice="4.408 0.000 0.000 0.000 7.631 0.000 0.000 0.000 4.526" Properties=species:S:1:pos:R:3 comment="LiFeIr PBE-GGA optimized geometry" e_form_mev_per_atom=-3 de_polymorph_mev_per_atom=35 energy_ev_per_cell=-76.99 magmom_total_mub_per_fu=2.6 pbc="T T T"
Li 0.000 1.269 0.000
Li 0.000 2.546 2.263
Li 0.000 5.085 2.263
Li 0.000 6.361 0.000
Fe 2.204 1.222 3.085
Fe 2.204 2.593 0.821
Fe 2.204 5.037 0.821
Fe 2.204 6.409 3.085
Ir 0.000 0.000 2.261
Ir 0.000 3.815 4.524
Ir 2.204 0.000 0.811
Ir 2.204 3.815 3.074

8
Lattice="4.035 0.000 0.000 0.000 6.454 0.000 0.000 0.000 7.848" Properties=species:S:1:pos:R:3 comment="MnTe2Au PBE-GGA optimized geometry" e_form_raw_mev_per_atom=250 de_polymorph_mev_per_atom=340 energy_ev_per_cell=-35.46 magmom_total_mub_per_fu=4.4 pbc="T T T"
Mn 0.000 0.000 0.000
Mn 2.017 3.227 0.000
Te 0.000 3.227 1.876
Te 0.000 3.227 5.973
Te 2.017 0.000 1.876
Te 2.017 0.000 5.973
Au 0.000 0.000 3.924
Au 2.017 3.227 3.924